Computed, not measured: crystalline LiTcH3 at its relaxed geometry at the PBE level of DFT.

## Properties
The volume comes out at 42 Å³/f.u. As for the energy above the lowest structure with this stoichiometry: 0 meV per atom. For the total energy, the calculation gives -4.438 eV/atom.

```
LiTcH3
1.0
3.4676 0.0000 0.0000
0.0000 3.4676 0.0000
0.0000 0.0000 3.4676
Li Tc H
1 1 3
direct
0.0000 0.0000 0.0000
0.5000 0.5000 0.5000
0.0000 0.5000 0.5000
0.5000 0.0000 0.5000
0.5000 0.5000 0.0000
```